5
Lattice="4.636 0.000 0.000 0.000 4.636 0.000 0.000 0.000 4.911" Properties=species:S:1:pos:R:3 comment="GGA-PBE TiInGaPt2, relaxed" e_form_ev_per_atom=0.464 crystal_system=tetragonal pbc="T T T"
Ti 0.000 0.000 0.000
In 2.318 2.318 0.000
Ga 2.318 2.318 2.456
Pt 0.000 2.318 2.456
Pt 2.318 0.000 2.456

---

9
Lattice="-5.233 5.233 2.543 5.233 -5.233 2.543 5.233 5.233 -2.543" Properties=species:S:1:pos:R:3 comment="GGA-PBE Pb8Cl, relaxed" raw_formation_energy_kj_per_mol_fu=-83.1 crystal_system=tetragonal pbc="T T T"
Pb 3.502 0.000 0.000
Pb 6.965 0.000 0.000
Pb 3.448 3.448 0.000
Pb 1.785 -1.785 2.543
Pb 0.000 3.502 0.000
Pb 0.000 6.965 0.000
Pb -1.785 1.785 2.543
Pb 1.785 1.785 2.543
Cl 0.000 0.000 0.000

---

14
Lattice="6.353 0.000 0.000 0.000 6.353 0.000 0.000 0.000 6.353" Properties=species:S:1:pos:R:3 comment="GGA-PBE NdMn3Si3, relaxed" raw_formation_energy_kj_per_mol_fu=92.7 crystal_system=cubic pbc="T T T"
Nd 0.000 0.000 0.000
Nd 3.176 3.176 3.176
Mn 0.000 1.588 3.176
Mn 0.000 4.764 3.176
Mn 1.588 3.176 0.000
Mn 3.176 0.000 1.588
Mn 3.176 0.000 4.764
Mn 4.764 3.176 0.000
Si 0.000 3.176 1.588
Si 0.000 3.176 4.764
Si 1.588 0.000 3.176
Si 3.176 1.588 0.000
Si 3.176 4.764 0.000
Si 4.764 0.000 3.176

---

4
Lattice="1.677 -2.324 0.000 1.677 2.324 0.000 0.000 0.000 8.425" Properties=species:S:1:pos:R:3 comment="GGA-PBE Ta2SiMo, relaxed" raw_formation_energy_kj_per_mol_fu=-69.2 crystal_system=orthorhombic pbc="T T T"
Ta 0.000 0.000 0.000
Ta 1.677 0.000 2.341
Si 1.677 0.000 6.443
Mo 0.000 0.000 4.555

---

4
Lattice="0.000 4.079 4.079 4.079 0.000 4.079 4.079 4.079 0.000" Properties=species:S:1:pos:R:3 comment="GGA-PBE CaTbSmHo, relaxed" e_form_ev_per_atom=0.149 crystal_system=cubic pbc="T T T"
Ca 0.000 0.000 0.000
Tb 2.040 2.040 2.040
Sm 6.119 6.119 6.119
Ho 4.079 4.079 4.079

---

10
Lattice="8.224 0.000 0.000 0.000 8.224 0.000 0.000 0.000 3.127" Properties=species:S:1:pos:R:3 comment="GGA-PBE NaSc2Ge2, relaxed" e_form_ev_per_atom=-0.505 crystal_system=tetragonal relative_energy_ev_per_atom=0.000 pbc="T T T"
Na 0.000 0.000 0.000
Na 4.112 4.112 0.000
Sc 1.130 2.982 1.563
Sc 2.982 7.093 1.563
Sc 5.242 1.130 1.563
Sc 7.093 5.242 1.563
Ge 1.328 5.440 0.000
Ge 2.784 1.328 0.000
Ge 5.440 6.896 0.000
Ge 6.896 2.784 0.000

---

12
Lattice="7.396 -3.163 0.000 7.396 3.163 0.000 -0.620 0.000 5.324" Properties=species:S:1:pos:R:3 comment="GGA-PBE Li2CuSn3, relaxed" e_form_ev_per_atom=-0.135 crystal_system=monoclinic pbc="T T T"
Li 2.431 0.794 0.485
Li 2.121 -0.794 3.147
Li 12.050 0.794 2.176
Li 11.741 -0.794 4.838
Cu 6.931 0.394 3.993
Cu 7.241 -0.394 1.331
Sn 7.241 2.438 1.331
Sn 4.781 0.803 2.276
Sn 4.471 -0.803 4.938
Sn 9.700 0.803 0.386
Sn 9.391 -0.803 3.048
Sn 6.931 -2.438 3.993

---

5
Lattice="4.935 0.000 0.000 0.000 4.935 0.000 0.000 0.000 4.935" Properties=species:S:1:pos:R:3 comment="GGA-PBE GaHgIr3, relaxed" e_form_ev_per_atom=2.295 crystal_system=cubic pbc="T T T"
Ga 0.000 0.000 0.000
Hg 2.467 2.467 2.467
Ir 0.000 2.467 2.467
Ir 2.467 0.000 2.467
Ir 2.467 2.467 0.000

---

20
Lattice="5.481 -7.604 0.000 5.481 7.604 0.000 -5.448 0.000 8.358" Properties=species:S:1:pos:R:3 comment="GGA-PBE Pm5Pr3Dy2, relaxed" e_form_ev_per_atom=0.178 crystal_system=monoclinic pbc="T T T"
Pm 1.395 7.302 6.269
Pm -1.313 1.860 6.447
Pm 4.119 3.471 2.090
Pm 1.411 -1.860 2.268
Pm 4.119 0.396 2.090
Pm 1.395 -0.396 6.269
Pm 4.102 1.860 6.090
Pm 1.395 -3.471 6.269
Pm 6.827 -1.860 1.911
Pm 4.119 -7.302 2.090
Pr 1.325 1.912 0.449
Pr 1.395 4.119 6.269
Pr -1.399 -1.912 4.629
Pr 6.912 1.912 3.730
Pr 4.119 -4.119 2.090
Pr 4.188 -1.912 7.909
Dy 1.330 1.868 3.748
Dy -1.394 -1.868 7.928
Dy 6.907 1.868 0.431
Dy 4.183 -1.868 4.610

---

11
Lattice="4.256 -5.452 0.000 4.256 5.452 0.000 -1.855 0.000 8.032" Properties=species:S:1:pos:R:3 comment="GGA-PBE Tb2Pr7Sc2, relaxed" e_form_ev_per_atom=0.131 crystal_system=monoclinic relative_energy_ev_per_atom=0.000 pbc="T T T"
Tb 0.081 0.000 2.554
Tb 6.576 0.000 5.477
Pr 1.949 3.097 2.575
Pr 2.501 0.000 0.132
Pr 4.708 3.097 5.457
Pr 3.329 0.000 4.016
Pr 1.949 -3.097 2.575
Pr 4.157 0.000 7.900
Pr 4.708 -3.097 5.457
Sc 4.256 3.150 0.000
Sc 4.256 -3.150 0.000

---

5
Lattice="-2.148 2.148 8.609 2.148 -2.148 8.609 2.148 2.148 -8.609" Properties=species:S:1:pos:R:3 comment="GGA-PBE Ho2Er2In, relaxed" e_form_ev_per_atom=0.287 crystal_system=tetragonal relative_energy_ev_per_atom=0.449 pbc="T T T"
Ho 0.000 0.000 1.556
Ho 0.000 0.000 15.662
Er 2.148 0.000 4.304
Er 0.000 2.148 4.304
In 0.000 0.000 8.609

---

8
Lattice="7.107 0.000 0.000 0.000 4.056 0.000 -2.331 0.000 7.107" Properties=species:S:1:pos:R:3 comment="GGA-PBE Na2PrZrSe4, relaxed" raw_formation_energy_kj_per_mol_fu=-1119.7 crystal_system=monoclinic pbc="T T T"
Na 0.000 0.000 0.000
Na 3.554 2.028 0.000
Pr -1.166 2.028 3.554
Zr 2.388 0.000 3.554
Se 0.177 0.000 5.239
Se 1.323 2.028 1.939
Se 3.452 2.028 5.169
Se 4.599 0.000 1.868

---

5
Lattice="4.103 0.000 0.000 -2.051 3.553 0.000 0.000 0.000 5.241" Properties=species:S:1:pos:R:3 comment="GGA-PBE Zn2Ru3, relaxed" e_form_ev_per_atom=0.613 crystal_system=trigonal relative_energy_ev_per_atom=0.547 pbc="T T T"
Zn 0.000 2.369 1.867
Zn 2.051 1.184 3.374
Ru 0.000 0.000 2.621
Ru 0.000 2.369 4.626
Ru 2.051 1.184 0.615

---

4
Lattice="4.306 -1.315 0.000 4.306 1.315 0.000 -0.269 0.000 5.193" Properties=species:S:1:pos:R:3 comment="GGA-PBE ScZnCr2, relaxed" e_form_ev_per_atom=0.355 crystal_system=monoclinic pbc="T T T"
Sc 0.000 0.000 0.000
Zn 6.343 0.000 1.405
Cr 1.893 0.000 3.699
Cr 3.974 0.000 2.705

---

8
Lattice="-4.296 4.296 3.621 4.296 -4.296 3.621 4.296 4.296 -3.621" Properties=species:S:1:pos:R:3 comment="GGA-PBE Ca2TlPb, relaxed" e_form_ev_per_atom=-0.182 crystal_system=tetragonal relative_energy_ev_per_atom=0.308 pbc="T T T"
Ca 6.444 2.140 -0.905
Ca 2.140 2.148 0.905
Ca -2.148 2.156 2.715
Ca 2.156 2.148 4.526
Tl 0.000 0.000 0.000
Tl 0.000 4.296 1.810
Pb 4.296 0.000 1.810
Pb 0.000 0.000 3.621

---

8
Lattice="2.279 -11.075 0.000 2.279 11.075 0.000 0.000 0.000 4.620" Properties=species:S:1:pos:R:3 comment="GGA-PBE YTm2Sn, relaxed" e_form_ev_per_atom=-0.427 crystal_system=orthorhombic relative_energy_ev_per_atom=0.000 pbc="T T T"
Y 2.279 6.814 3.465
Y 2.279 -6.814 1.155
Tm 2.279 9.774 1.155
Tm 2.279 1.394 1.155
Tm 2.279 -1.394 3.465
Tm 2.279 -9.774 3.465
Sn 2.279 3.658 3.465
Sn 2.279 -3.658 1.155

---

10
Lattice="3.692 2.132 6.615 -3.692 2.132 6.615 0.000 -4.263 6.615" Properties=species:S:1:pos:R:3 comment="GGA-PBE Na2MgPbBr6, relaxed" raw_formation_energy_kj_per_mol_fu=-1267.8 crystal_system=trigonal pbc="T T T"
Na 0.000 0.000 0.000
Na 0.000 0.000 9.766
Mg 0.000 0.000 13.705
Pb 0.000 0.000 3.878
Br -1.397 -2.299 8.496
Br -2.148 0.025 11.972
Br -1.292 2.359 8.496
Br 1.052 -1.873 11.972
Br 2.689 -0.061 8.496
Br 1.096 1.847 11.972

---

10
Lattice="4.662 0.000 0.000 0.000 4.662 0.000 0.000 0.000 11.555" Properties=species:S:1:pos:R:3 comment="GGA-PBE Ac2ZnAg4Sn3, relaxed" e_form_ev_per_atom=-0.394 crystal_system=tetragonal pbc="T T T"
Ac 0.000 2.331 2.870
Ac 2.331 0.000 8.685
Zn 0.000 0.000 5.777
Ag 0.000 0.000 0.000
Ag 0.000 2.331 7.250
Ag 2.331 0.000 4.305
Ag 2.331 2.331 0.000
Sn 0.000 2.331 9.968
Sn 2.331 0.000 1.587
Sn 2.331 2.331 5.777

---

13
Lattice="5.405 0.000 0.000 -2.703 4.681 0.000 0.000 0.000 8.932" Properties=species:S:1:pos:R:3 comment="GGA-PBE ScMn6Sn6, relaxed" e_form_ev_per_atom=-0.123 crystal_system=hexagonal pbc="T T T"
Sc 0.000 0.000 0.000
Mn -1.351 2.340 2.213
Mn -1.351 2.340 6.719
Mn 2.703 0.000 2.213
Mn 2.703 0.000 6.719
Mn 1.351 2.340 2.213
Mn 1.351 2.340 6.719
Sn 0.000 0.000 2.925
Sn 0.000 0.000 6.008
Sn 0.000 3.121 0.000
Sn 0.000 3.121 4.466
Sn 2.703 1.560 0.000
Sn 2.703 1.560 4.466

---

no.,uncorrected energy (eV for the cell shown)
1,-23.42
2,-32.37
3,-95.17
4,-40.68
5,-15.33
6,-51.49
7,-41.48
8,-18.43
9,-91.04
10,-53.94
11,-19.58
12,-41.51
13,-27.31
14,-25.43
15,-21.61
16,-42.24
17,-31.12
18,-36.85
19,-86.96